# 1
Density functional theory data (PBE) for K2Tl2Ag15 after structural relaxation.

```
K2Tl2Ag15
1.0
5.021 2.899 4.741
-5.021 2.899 4.741
0.000 -5.797 4.741
K Tl Ag
2 2 15
direct
0.147 0.147 0.147
0.853 0.853 0.853
0.394 0.394 0.394
0.606 0.606 0.606
0.000 0.500 0.500
0.157 0.157 0.659
0.157 0.659 0.157
0.188 0.500 0.812
0.188 0.812 0.500
0.341 0.843 0.843
0.500 0.000 0.500
0.500 0.188 0.812
0.500 0.500 0.000
0.500 0.812 0.188
0.659 0.157 0.157
0.812 0.188 0.500
0.812 0.500 0.188
0.843 0.341 0.843
0.843 0.843 0.341
```

Computed properties:
* formation energy: 33 meV per atom
* SG: No. 166

---

# 2
Density functional theory data (PBE) for K2Tl3Ag after structural relaxation.

```
K2Tl3Ag
1.0
5.479 -3.276 0.000
5.479 3.276 0.000
-3.588 0.000 5.400
K Tl Ag
2 3 1
direct
0.125 0.125 0.376
0.875 0.875 0.624
0.000 0.500 0.000
0.500 0.000 0.000
0.500 0.500 0.500
0.500 0.500 0.000
```

Computed properties:
* formation energy: -50 meV per atom
* SG: No. 12

---

# 3
Density functional theory data (PBE) for K3Tl5Ag2 after structural relaxation.

```
K3Tl5Ag2
1.0
-6.452 7.331 3.698
6.452 -7.331 3.698
6.452 7.331 -3.698
K Tl Ag
6 10 4
direct
0.129 0.737 0.865
0.250 0.250 0.000
0.371 0.237 0.608
0.629 0.763 0.392
0.750 0.750 0.000
0.871 0.263 0.135
0.001 0.750 0.251
0.121 0.354 0.475
0.250 0.750 0.500
0.379 0.854 0.232
0.499 0.750 0.749
0.501 0.250 0.251
0.621 0.146 0.768
0.750 0.250 0.500
0.879 0.646 0.525
0.999 0.250 0.749
0.152 0.137 0.290
0.348 0.637 0.985
0.652 0.363 0.015
0.848 0.863 0.710
```

Computed properties:
* formation energy: -30 meV per atom
* SG: No. 72

---

# 4
Density functional theory data (PBE) for K3TlAg after structural relaxation.

```
K3TlAg
1.0
6.444 -5.349 0.000
6.444 5.349 0.000
-5.630 0.000 6.556
K Tl Ag
6 2 2
direct
0.055 0.055 0.333
0.092 0.479 0.250
0.479 0.092 0.250
0.521 0.908 0.750
0.908 0.521 0.750
0.945 0.945 0.667
0.430 0.430 0.736
0.570 0.570 0.264
0.287 0.287 0.896
0.713 0.713 0.104
```

Computed properties:
* formation energy: 13 meV per atom
* SG: No. 12
* energy above the lowest structure with this stoichiometry: 0.003 eV/atom